1.
## CsTlAu (PBE)

Data for an optimized crystal structure of CsTlAu.

Unit cell a=7.936 b=6.935 c=9.440 alpha=65.31 beta=90.00 gamma=90.00
Sites, in units of the cell vectors:
Tl 0.096 0.275 0.456
Tl 0.596 0.725 0.044
Au 0.852 0.605 0.282
Au 0.148 0.395 0.718
Cs 0.384 0.805 0.396
Tl 0.404 0.275 0.956
Au 0.648 0.605 0.782
Tl 0.904 0.725 0.544
Cs 0.116 0.805 0.896
Au 0.352 0.395 0.218
Cs 0.884 0.195 0.104
Cs 0.616 0.195 0.604

Results
N(E_F)	0.517	states/eV per atom
energy of formation	-210	meV/atom


2.
## AcErRhI (PBE)

Data for an optimized crystal structure of AcErRhI.

Unit cell a=4.190 b=4.190 c=8.637 alpha=90.00 beta=104.04 gamma=120.00
Sites, in units of the cell vectors:
Rh 0.317 0.556 0.889
I 0.953 0.375 0.343
Er 0.093 0.944 0.052
Ac 0.515 0.156 0.686

Results
formation energy without anion corrections	-967	meV per atom


3.
## Tb6SmHo3Er2 (PBE)

Data for an optimized crystal structure of Tb6SmHo3Er2.

Unit cell a=6.140 b=6.140 c=11.753 alpha=94.97 beta=94.97 gamma=119.96
Sites, in units of the cell vectors:
Sm 0.000 0.000 0.000
Tb 0.418 0.084 0.251
Tb 0.750 0.750 0.251
Tb 0.084 0.418 0.251
Tb 0.582 0.916 0.749
Er 0.333 0.667 0.000
Ho 0.833 0.167 0.500
Er 0.667 0.333 0.000
Ho 0.500 0.500 0.500
Ho 0.167 0.833 0.500
Tb 0.916 0.582 0.749
Tb 0.250 0.250 0.749

Results
N(E_F)	1.278	states/eV per atom
energy of formation	16	meV/atom


4.
## La2Nd2CoAg2 (PBE)

Data for an optimized crystal structure of La2Nd2CoAg2.

Unit cell a=4.592 b=6.774 c=7.686 alpha=63.78 beta=72.59 gamma=90.00
Sites, in units of the cell vectors:
Ag 0.122 0.622 0.757
Nd 0.500 0.747 0.001
La 0.200 0.200 0.600
Co 0.000 0.000 0.000
La 0.800 0.800 0.400
Ag 0.878 0.378 0.243
Nd 0.500 0.253 0.999

Results
N(E_F)	1.041	states/eV per atom
energy of formation	-128	meV/atom


5.
## Li2Cd2Cu (PBE)

Data for an optimized crystal structure of Li2Cd2Cu.

Unit cell a=7.000 b=7.000 c=3.857 alpha=90.00 beta=90.00 gamma=90.00
Sites, in units of the cell vectors:
Li 0.660 0.840 0.500
Li 0.840 0.340 0.500
Cd 0.353 0.853 0.000
Cu 0.500 0.500 0.000
Li 0.340 0.160 0.500
Cu 0.000 0.000 0.000
Cd 0.647 0.147 0.000
Cd 0.853 0.647 0.000
Li 0.160 0.660 0.500
Cd 0.147 0.353 0.000

Results
N(E_F)	0.311	states/eV per atom
energy of formation	-17	meV/atom
distance to the lowest polymorph of the same formula	120	meV per atom


6.
## MnZn4Co (PBE)

Data for an optimized crystal structure of MnZn4Co.

Unit cell a=4.247 b=4.943 c=4.966 alpha=93.87 beta=64.68 gamma=64.56
Last column: magnetic moment on the atom in μB.
Sites, in units of the cell vectors:
Zn 0.725 0.610 0.939  -0.04
Mn 0.500 0.500 0.500  3.40
Co 0.000 0.000 0.000  1.06
Zn 0.275 0.390 0.061  -0.04
Zn 0.228 0.103 0.441  -0.04
Zn 0.772 0.897 0.559  -0.04

Results
N(E_F)	0.355	states/eV per atom
energy of formation	15	meV/atom
distance to the lowest polymorph of the same formula	0	meV per atom


7.
## BaCd4Re (PBE)

Data for an optimized crystal structure of BaCd4Re.

Unit cell a=5.892 b=5.892 c=5.892 alpha=60.00 beta=60.00 gamma=60.00
Last column: magnetic moment on the atom in μB.
Sites, in units of the cell vectors:
Cd 0.377 0.377 0.870  -0.01
Cd 0.377 0.377 0.377  -0.01
Cd 0.377 0.870 0.377  -0.01
Cd 0.870 0.377 0.377  -0.01
Ba 0.000 0.000 0.000  0.05
Re 0.750 0.750 0.750  2.26

Results
N(E_F)	0.400	states/eV per atom
energy of formation	513	meV/atom


8.
## Tb2DyPd4 (PBE)

Data for an optimized crystal structure of Tb2DyPd4.

Unit cell a=5.331 b=5.331 c=7.675 alpha=114.18 beta=114.18 gamma=63.37
Sites, in units of the cell vectors:
Tb 0.267 0.267 0.663
Pd 0.000 0.500 0.000
Pd 0.346 0.346 0.348
Tb 0.733 0.733 0.337
Pd 0.654 0.654 0.652
Pd 0.500 0.000 0.000
Dy 0.000 0.000 0.000

Results
N(E_F)	0.592	states/eV per atom
energy of formation	-560	meV/atom